Density functional theory data (PBE) for Ac5LaP6 after structural relaxation.

The structure in CIF format:
```
data_Ac5LaP6
_chemical_formula_sum 'Ac5 La1 P6'
_symmetry_space_group_name_H-M 'P 1'
_symmetry_Int_Tables_number 1
_symmetry_space_group_name_Hall 'P 1'
_cell_length_a 7.659
_cell_length_b 7.658
_cell_length_c 7.658
_cell_angle_alpha 60.00
_cell_angle_beta 80.40
_cell_angle_gamma 70.51
loop_
_atom_site_label
_atom_site_type_symbol
_atom_site_fract_x
_atom_site_fract_y
_atom_site_fract_z
_atom_site_occupancy
P1 P 0.753 0.082 0.328 1
P2 P 0.247 0.918 0.672 1
P3 P 0.247 0.246 0.000 1
P4 P 0.753 0.410 0.672 1
P5 P 0.247 0.590 0.328 1
P6 P 0.753 0.754 0.000 1
La1 La 0.000 0.000 0.000 1
Ac1 Ac 0.000 0.667 0.667 1
Ac2 Ac 0.500 0.167 0.666 1
Ac3 Ac 0.500 0.500 0.000 1
Ac4 Ac 0.000 0.333 0.333 1
Ac5 Ac 0.500 0.833 0.334 1
```

## Properties
As for the space group: No. 12. The crystal system is monoclinic. For the density of states at the Fermi level, the calculation gives 0.8 states/eV/f.u. For the formation energy, the calculation gives -1481 meV per atom. The calculation puts the size of the total moment at 0.00 Bohr magnetons per cell. As for the uncorrected energy: -75.71 eV for the cell shown.